Record 1
This record from Alexandria via LeMat-Bulk describes a geometry-optimized AlZn2Ag structure. The functional is GGA-PBE.

## Properties
Crystal system = monoclinic

a b c (Å): 6.250 4.744 3.056
angles (deg): 90.22 60.35 119.96
Atoms (fractional coordinates):
1 Al 0.500 0.500 0.000
2 Zn 0.000 0.000 0.000
3 Zn 0.500 0.000 0.500
4 Ag 0.000 0.500 0.500


Record 2
This record from Alexandria via LeMat-Bulk describes a geometry-optimized AlZnAg2 structure. The functional is GGA-PBE.

## Properties
Crystal system = orthorhombic

a b c (Å): 3.054 3.508 6.100
angles (deg): 90.00 90.00 90.00
Atoms (fractional coordinates):
1 Zn 0.500 0.500 0.750
2 Ag 0.000 0.000 0.499
3 Ag 0.000 0.000 0.001
4 Al 0.500 0.500 0.250


Record 3
This record from Alexandria via LeMat-Bulk describes a geometry-optimized Al2Zn8Ag3 structure. The functional is GGA-PBE.

## Properties
Crystal system = trigonal

a b c (Å): 5.112 5.112 10.061
angles (deg): 75.28 75.28 60.00
Atoms (fractional coordinates):
1 Zn 0.732 0.230 0.306
2 Zn 0.732 0.732 0.306
3 Zn 0.268 0.770 0.694
4 Zn 0.770 0.268 0.694
5 Zn 0.726 0.726 0.822
6 Zn 0.268 0.268 0.694
7 Zn 0.274 0.274 0.178
8 Zn 0.230 0.732 0.306
9 Ag 0.000 0.000 0.000
10 Ag 0.817 0.817 0.548
11 Ag 0.183 0.183 0.452
12 Al 0.642 0.642 0.074
13 Al 0.358 0.358 0.926


| no. | spin magnetization (μB/f.u.) | mass density (g/cm³) | formation energy (meV/atom) |
| --- | --- | --- | --- |
| 1 | 0.000 | 6.8 | 4 |
| 2 | 0.000 | 7.8 | -29 |
| 3 | 0.000 | 6.9 | 83 |